# 1
CuPtAu2 at its PBEsol-relaxed geometry, computed with meta-GGA SCAN.

Structure (POSCAR):
```
CuPtAu2
1.0
2.800 0.000 0.000
-1.400 2.424 0.000
0.000 0.000 26.792
Cu Pt Au
3 3 6
direct
0.000 0.000 0.000 Cu
0.333 0.667 0.667 Cu
0.667 0.333 0.333 Cu
0.000 0.000 0.500 Pt
0.333 0.667 0.167 Pt
0.667 0.333 0.833 Pt
0.000 0.000 0.255 Au
0.000 0.000 0.745 Au
0.333 0.667 0.412 Au
0.333 0.667 0.922 Au
0.667 0.333 0.078 Au
0.667 0.333 0.588 Au
```

The calculation puts the formation energy at -0.003 eV/atom. As for the density of states at the Fermi level: 0.32 states/eV per atom. Its energy above the most stable polymorph in this dataset is 0.21 eV/f.u. The volume comes out at 15.15 Å³ per atom.

# 2
BaLi2Mg at its PBEsol-relaxed geometry, computed with meta-GGA SCAN.

Structure (POSCAR):
```
BaLi2Mg
1.0
3.713 0.000 0.000
0.000 3.932 0.000
0.000 0.000 7.918
Ba Li Mg
1 2 1
direct
0.000 0.000 0.000 Ba
0.500 0.500 0.319 Li
0.500 0.500 0.681 Li
0.000 0.000 0.500 Mg
```

The calculation puts the formation energy at 0.045 eV/atom. As for the density of states at the Fermi level: 0.60 states/eV per atom. The volume comes out at 28.90 Å³ per atom.

# 3
Ba2SnRuN at its PBEsol-relaxed geometry, computed with meta-GGA SCAN.

Structure (POSCAR):
```
Ba2SnRuN
1.0
6.434 0.000 0.000
0.000 6.434 0.000
0.000 0.000 4.836
Ba Sn Ru N
2 1 1 1
direct
0.000 0.500 0.000 Ba
0.500 0.000 0.000 Ba
0.000 0.000 0.000 Sn
0.000 0.000 0.500 Ru
0.500 0.500 0.500 N
```

As for the density of states at the Fermi level: 1.15 states/eV per atom. The raw formation energy is 1037 meV/atom. The volume comes out at 40.05 Å³ per atom.

# 4
LiAl2W at its PBEsol-relaxed geometry, computed with meta-GGA SCAN.

Structure (POSCAR):
```
LiAl2W
1.0
4.574 0.000 0.000
0.000 4.574 0.000
0.000 0.000 2.825
Li Al W
1 2 1
direct
0.000 0.000 0.000 Li
0.000 0.500 0.500 Al
0.500 0.000 0.500 Al
0.500 0.500 0.000 W
```

The calculation puts the formation energy at -0.068 eV/atom. As for the density of states at the Fermi level: 0.40 states/eV per atom. Its energy above the most stable polymorph in this dataset is 0.02 eV/f.u. The volume comes out at 14.78 Å³ per atom.

# 5
MgCoMo2 at its PBEsol-relaxed geometry, computed with meta-GGA SCAN.

Structure (POSCAR):
```
MgCoMo2
1.0
3.635 0.000 0.000
0.000 3.635 0.000
0.000 0.000 8.593
Mg Co Mo
2 2 4
direct
0.000 0.000 0.000 Mg
0.500 0.500 0.500 Mg
0.000 0.000 0.500 Co
0.500 0.500 0.000 Co
0.000 0.500 0.250 Mo
0.000 0.500 0.750 Mo
0.500 0.000 0.250 Mo
0.500 0.000 0.750 Mo
```

The calculation puts the formation energy at 0.370 eV/atom. As for the density of states at the Fermi level: 1.00 states/eV per atom. The volume comes out at 14.20 Å³ per atom.

# 6
KP15 at its PBEsol-relaxed geometry, computed with meta-GGA SCAN.

Structure (POSCAR):
```
KP15
1.0
7.065 0.000 0.000
-2.724 8.652 0.000
-2.160 -0.785 11.566
K P
2 30
direct
0.216 0.211 0.002 K
0.784 0.789 0.998 K
0.009 0.347 0.420 P
0.024 0.426 0.813 P
0.027 0.893 0.642 P
0.104 0.772 0.316 P
0.116 0.899 0.828 P
0.215 0.580 0.710 P
0.247 0.496 0.189 P
0.281 0.884 0.187 P
0.306 0.461 0.377 P
0.316 0.981 0.579 P
0.333 0.695 0.445 P
0.347 0.789 0.832 P
0.385 0.230 0.623 P
0.463 0.096 0.293 P
0.482 0.734 0.189 P
0.518 0.266 0.811 P
0.537 0.904 0.707 P
0.615 0.770 0.377 P
0.653 0.211 0.168 P
0.667 0.305 0.555 P
0.684 0.019 0.421 P
0.694 0.539 0.623 P
0.719 0.116 0.813 P
0.753 0.504 0.811 P
0.785 0.420 0.290 P
0.884 0.101 0.172 P
0.896 0.228 0.684 P
0.973 0.107 0.358 P
0.976 0.574 0.187 P
0.991 0.653 0.580 P
```

The calculation puts the formation energy at -0.121 eV/atom. The volume comes out at 22.09 Å³ per atom.

# 7
SbRh4 at its PBEsol-relaxed geometry, computed with meta-GGA SCAN.

Structure (POSCAR):
```
SbRh4
1.0
6.076 0.000 0.000
0.000 6.076 0.000
0.000 0.000 3.946
Sb Rh
2 8
direct
0.000 0.000 0.000 Sb
0.500 0.500 0.500 Sb
0.104 0.306 0.500 Rh
0.194 0.604 0.000 Rh
0.306 0.896 0.500 Rh
0.396 0.194 0.000 Rh
0.604 0.806 0.000 Rh
0.694 0.104 0.500 Rh
0.806 0.396 0.000 Rh
0.896 0.694 0.500 Rh
```

As for the density of states at the Fermi level: 0.99 states/eV per atom. The raw formation energy is -168 meV/atom. The volume comes out at 14.57 Å³ per atom.

# 8
RbLaPd3 at its PBEsol-relaxed geometry, computed with meta-GGA SCAN.

Structure (POSCAR):
```
RbLaPd3
1.0
5.062 0.000 0.000
0.000 5.062 0.000
0.000 0.000 5.062
Rb La Pd
1 1 3
direct
0.000 0.000 0.000 Rb
0.500 0.500 0.500 La
0.000 0.000 0.500 Pd
0.000 0.500 0.000 Pd
0.500 0.000 0.000 Pd
```

The calculation puts the formation energy at 0.880 eV/atom. As for the density of states at the Fermi level: 0.50 states/eV per atom. The volume comes out at 25.94 Å³ per atom.

# 9
CdAg2Hg at its PBEsol-relaxed geometry, computed with meta-GGA SCAN.

Structure (POSCAR):
```
CdAg2Hg
1.0
4.184 0.000 0.000
0.000 4.238 0.000
0.000 0.000 8.264
Cd Ag Hg
2 4 2
direct
0.000 0.000 0.000 Cd
0.500 0.500 0.000 Cd
0.000 0.500 0.245 Ag
0.000 0.500 0.755 Ag
0.500 0.000 0.245 Ag
0.500 0.000 0.755 Ag
0.000 0.000 0.500 Hg
0.500 0.500 0.500 Hg
```

The calculation puts the formation energy at 0.009 eV/atom. As for the density of states at the Fermi level: 0.28 states/eV per atom. Its energy above the most stable polymorph in this dataset is 0.08 eV/f.u. The volume comes out at 18.32 Å³ per atom.

# 10
CaTaP2H at its PBEsol-relaxed geometry, computed with meta-GGA SCAN.

Structure (POSCAR):
```
CaTaP2H
1.0
4.956 0.000 0.000
0.000 4.956 0.000
0.000 0.000 5.152
Ca Ta P H
1 1 2 1
direct
0.000 0.000 0.000 Ca
0.000 0.000 0.500 Ta
0.000 0.500 0.000 P
0.500 0.000 0.000 P
0.500 0.500 0.500 H
```

As for the density of states at the Fermi level: 0.84 states/eV per atom. Its total energy is -88.779 eV for the cell shown. The volume comes out at 25.31 Å³ per atom.

# 11
AcIn3 at its PBEsol-relaxed geometry, computed with meta-GGA SCAN.

Structure (POSCAR):
```
AcIn3
1.0
7.082 0.000 0.000
-3.541 6.133 0.000
0.000 0.000 5.114
Ac In
2 6
direct
0.333 0.667 0.250 Ac
0.667 0.333 0.750 Ac
0.148 0.296 0.750 In
0.148 0.852 0.750 In
0.296 0.148 0.250 In
0.704 0.852 0.750 In
0.852 0.148 0.250 In
0.852 0.704 0.250 In
```

The calculation puts the formation energy at -0.571 eV/atom. As for the density of states at the Fermi level: 0.28 states/eV per atom. The volume comes out at 27.77 Å³ per atom.

# 12
LiNbOF2 at its PBEsol-relaxed geometry, computed with meta-GGA SCAN.

Structure (POSCAR):
```
LiNbOF2
1.0
3.334 0.000 0.000
0.000 3.334 0.000
0.000 0.000 4.064
Li Nb O F
1 1 1 2
direct
0.000 0.000 0.000 Li
0.500 0.500 0.500 Nb
0.000 0.000 0.500 O
0.000 0.500 0.000 F
0.500 0.000 0.000 F
```

As for the density of states at the Fermi level: 0.56 states/eV per atom. The raw formation energy is -2047 meV/atom. The volume comes out at 9.03 Å³ per atom.